VASP calculation (PBE-GGA) on a relaxed structure of BaBi12Au7.

DFT total energy (eV per atom): -3.69
Calculated formation energy (eV/f.u.): -2.3

Unit cell a=15.9784 b=15.9784 c=7.9148 alpha=90.00 beta=90.00 gamma=120.00
Space group R-3 (No. 148, hexagonal axes)
Inequivalent atoms, fractional coordinates:
Ba  0.0000  0.0000  0.0000 x3
Bi  0.0517  0.2698  0.9762 x18
Bi  0.0699  0.8559  0.3580 x18
Au  0.0000  0.0000  0.5000 x3
Au  0.0555  0.8687  0.7418 x18